Here is an optimized crystal structure of Ac4LaRe3N12 from Alexandria. Energies are from PBE.

a b c (Å): 7.223 7.223 7.223
angles (deg): 109.47 109.47 109.47
Element x y z (fractional)
1 Ac 0.500 0.500 0.500
2 Ac 0.500 0.000 0.000
3 Ac 0.000 0.000 0.500
4 Ac 0.000 0.500 0.000
5 N 0.274 0.274 0.000
6 N 0.500 0.250 0.750
7 N 0.000 0.726 0.726
8 N 0.000 0.274 0.274
9 N 0.750 0.250 0.500
10 N 0.250 0.750 0.500
11 N 0.274 0.000 0.274
12 N 0.500 0.750 0.250
13 N 0.726 0.000 0.726
14 N 0.750 0.500 0.250
15 N 0.726 0.726 0.000
16 N 0.250 0.500 0.750
17 Re 0.500 0.500 0.000
18 Re 0.500 0.000 0.500
19 Re 0.000 0.500 0.500
20 La 0.000 0.000 0.000

Summary:
Density of states at the Fermi level (states/eV per atom): 0.451
Formation energy (no corrections) (eV per atom): -0.4963
Size of the total moment (μB per cell): 0.000


Here is an optimized crystal structure of AcLa2ReN4 from Alexandria. Energies are from PBE.

a b c (Å): 3.636 6.516 12.381
angles (deg): 90.00 90.00 106.20
Element x y z (fractional)
1 N 0.000 0.000 0.500
2 N 0.000 0.000 0.000
3 N 0.731 0.463 0.864
4 N 0.269 0.537 0.136
5 N 0.412 0.823 0.750
6 N 0.269 0.537 0.364
7 N 0.588 0.177 0.250
8 N 0.731 0.463 0.636
9 Re 0.156 0.312 0.250
10 Re 0.844 0.688 0.750
11 Ac 0.888 0.775 0.250
12 Ac 0.112 0.225 0.750
13 La 0.632 0.264 0.460
14 La 0.632 0.264 0.040
15 La 0.368 0.736 0.960
16 La 0.368 0.736 0.540

Summary:
Density of states at the Fermi level (states/eV per atom): 0.392
Formation energy (no corrections) (eV per atom): -0.8548
Size of the total moment (μB per cell): 0.000


Here is an optimized crystal structure of AcLaRhN2 from Alexandria. Energies are from PBE.

a b c (Å): 4.968 5.826 6.959
angles (deg): 97.98 90.00 90.00
Element x y z (fractional)
1 La 0.528 0.000 0.750
2 La 0.472 0.000 0.250
3 Ac 0.908 0.500 0.250
4 Ac 0.092 0.500 0.750
5 N 0.276 0.267 0.019
6 N 0.724 0.733 0.981
7 N 0.724 0.267 0.519
8 N 0.276 0.733 0.481
9 Rh 0.000 0.000 0.500
10 Rh 0.000 0.000 0.000

Summary:
Density of states at the Fermi level (states/eV per atom): 1.123
Formation energy (no corrections) (eV per atom): -0.7116
Size of the total moment (μB per cell): 0.046


Here is an optimized crystal structure of AcLa2RuN4 from Alexandria. Energies are from PBE.

a b c (Å): 3.667 6.442 12.410
angles (deg): 90.00 90.00 106.54
Element x y z (fractional)
1 N 0.729 0.458 0.867
2 N 0.000 0.000 0.500
3 N 0.729 0.458 0.633
4 N 0.271 0.542 0.367
5 N 0.000 0.000 0.000
6 N 0.592 0.184 0.250
7 N 0.271 0.542 0.133
8 N 0.408 0.816 0.750
9 La 0.632 0.263 0.042
10 La 0.368 0.737 0.542
11 La 0.368 0.737 0.958
12 La 0.632 0.263 0.458
13 Ru 0.152 0.305 0.250
14 Ru 0.848 0.695 0.750
15 Ac 0.122 0.243 0.750
16 Ac 0.878 0.757 0.250

Summary:
Density of states at the Fermi level (states/eV per atom): 0.341
Formation energy (no corrections) (eV per atom): -0.8379
Size of the total moment (μB per cell): 0.000


Here is an optimized crystal structure of AcLaRuN2 from Alexandria. Energies are from PBE.

a b c (Å): 5.206 5.714 6.979
angles (deg): 97.34 90.00 90.00
Element x y z (fractional)
1 La 0.527 0.000 0.750
2 La 0.473 0.000 0.250
3 N 0.735 0.256 0.515
4 N 0.265 0.256 0.015
5 N 0.265 0.744 0.485
6 N 0.735 0.744 0.985
7 Ru 0.000 0.000 0.500
8 Ru 0.000 0.000 0.000
9 Ac 0.080 0.500 0.750
10 Ac 0.920 0.500 0.250

Summary:
Density of states at the Fermi level (states/eV per atom): 0.592
Formation energy (no corrections) (eV per atom): -0.5458
Size of the total moment (μB per cell): 2.440


Here is an optimized crystal structure of AcLaSN from Alexandria. Energies are from PBE.

a b c (Å): 3.955 3.955 7.208
angles (deg): 74.08 74.08 60.00
Element x y z (fractional)
1 La 0.512 0.512 0.463
2 Ac 0.988 0.988 0.036
3 N 0.246 0.246 0.261
4 S 0.754 0.754 0.739

Summary:
Density of states at the Fermi level (states/eV per atom): 0.361
Formation energy (no corrections) (eV per atom): -1.6581
Size of the total moment (μB per cell): 0.000


Here is an optimized crystal structure of Ac4La2Sb3N2 from Alexandria. Energies are from PBE.

a b c (Å): 5.085 5.085 13.990
angles (deg): 100.47 100.47 90.00
Element x y z (fractional)
1 La 0.306 0.306 0.613
2 La 0.694 0.694 0.387
3 Ac 0.416 0.916 0.833
4 Ac 0.916 0.416 0.833
5 Ac 0.084 0.584 0.167
6 Ac 0.584 0.084 0.167
7 Sb 0.821 0.821 0.642
8 Sb 0.179 0.179 0.358
9 Sb 0.000 0.000 0.000
10 N 0.390 0.390 0.779
11 N 0.610 0.610 0.221

Summary:
Density of states at the Fermi level (states/eV per atom): 0.273
Formation energy (no corrections) (eV per atom): -1.0902
Size of the total moment (μB per cell): 0.000


Here is an optimized crystal structure of Ac2La4Sb3N2 from Alexandria. Energies are from PBE.

a b c (Å): 4.933 4.933 14.051
angles (deg): 100.11 100.11 90.00
Element x y z (fractional)
1 Sb 0.000 0.000 0.000
2 Sb 0.825 0.825 0.650
3 Sb 0.175 0.175 0.350
4 La 0.419 0.919 0.837
5 La 0.919 0.419 0.837
6 La 0.081 0.581 0.163
7 La 0.581 0.081 0.163
8 N 0.603 0.603 0.205
9 N 0.397 0.397 0.795
10 Ac 0.307 0.307 0.613
11 Ac 0.693 0.693 0.387

Summary:
Density of states at the Fermi level (states/eV per atom): 0.497
Formation energy (no corrections) (eV per atom): -1.2074
Size of the total moment (μB per cell): 0.003